No. 1
Here is an optimized crystal structure of NbIn2PbSe from the Alexandria database. Energies are from PBE-GGA.

Calculated values
V, Å³/f.u.: 165.9
E_tot, eV per atom: -3.885
ΔE_f (raw), eV per atom: 0.6626

Unit cell a=5.4767 b=5.4767 c=5.5319 alpha=90.00 beta=90.00 gamma=90.00
Space group P4/mmm (No. 123)
Inequivalent atoms, fractional coordinates:
Nb (0.0000, 0.0000, 0.0000) (multiplicity 1)
In (0.0000, 0.5000, 0.0000) (multiplicity 2)
Pb (0.0000, 0.0000, 0.5000) (multiplicity 1)
Se (0.5000, 0.5000, 0.5000) (multiplicity 1)



No. 2
Here is an optimized crystal structure of Nb2TlInPb from the Alexandria database. Energies are from PBE-GGA.

Calculated values
Energy of formation from the pure elements, kcal/mol of atoms: 36.2
V, Å³/f.u.: 162.5
E_tot, eV per atom: -4.222

Unit cell a=5.3817 b=5.3817 c=5.6104 alpha=90.00 beta=90.00 gamma=90.00
Space group P4/mmm (No. 123)
Inequivalent atoms, fractional coordinates:
Nb (0.0000, 0.5000, 0.0000) (multiplicity 2)
Tl (0.0000, 0.0000, 0.5000) (multiplicity 1)
In (0.5000, 0.5000, 0.5000) (multiplicity 1)
Pb (0.5000, 0.5000, 0.0000) (multiplicity 1)



No. 3
Here is an optimized crystal structure of NbVInPb2 from the Alexandria database. Energies are from PBE-GGA.

Calculated values
Energy of formation from the pure elements, kcal/mol of atoms: 42.4
V, Å³/f.u.: 164.5
E_tot, eV per atom: -4.030

Unit cell a=5.5611 b=5.5611 c=5.3198 alpha=90.00 beta=90.00 gamma=90.00
Space group P4/mmm (No. 123)
Inequivalent atoms, fractional coordinates:
Nb (0.0000, 0.0000, 0.0000) (multiplicity 1)
V (0.5000, 0.5000, 0.0000) (multiplicity 1)
In (0.0000, 0.0000, 0.5000) (multiplicity 1)
Pb (0.0000, 0.5000, 0.5000) (multiplicity 2)



No. 4
Here is an optimized crystal structure of NbInPd5 from the Alexandria database. Energies are from PBE-GGA.

Calculated values
Energy of formation from the pure elements, kcal/mol of atoms: -4.4
V, Å³/f.u.: 124.0
Energy above the lowest structure with this stoichiometry, kcal/mol of atoms: 4.63
E_tot, eV per atom: -5.730

Unit cell a=8.0181 b=10.1242 c=6.8905 alpha=90.00 beta=117.55 gamma=90.00
Space group C2/c (No. 15)
Inequivalent atoms, fractional coordinates:
Nb (0.0000, 0.0373, 0.2500) (multiplicity 4)
In (0.0000, 0.5000, 0.0000) (multiplicity 4)
Pd (0.0000, 0.2918, 0.2500) (multiplicity 4)
Pd (0.1441, 0.1570, 0.6438) (multiplicity 8)
Pd (0.2455, 0.1195, 0.1014) (multiplicity 8)



- The lowest V belongs to which entry?
  NbInPd5



- The lowest V belongs to which entry?
  NbInPd5



- Among the records above, which one has the lowest V?
  NbInPd5



- Which value of E_tot does entry 2 give?
  -4.222 eV per atom